## DyErMgOs (GGA-PBE)

Data for a relaxed structure of DyErMgOs.

The structure in POSCAR format:
```
DyErMgOs
1.0
-0.4691 -1.5298 2.9899
3.3070 -0.7373 0.1416
1.4557 7.2895 3.9581
Er Os Mg Dy
1 1 1 1
Cartesian
1.9652 1.6018 3.0510 Er
0.8281 4.1464 2.2515 Os
0.1070 0.5359 0.2910 Mg
2.5356 4.4584 4.6021 Dy
```

Results
excess energy over the best structure of this formula in the dataset = 0.0 meV/atom
SG = P4mm

---

## DyErMgOs (GGA-PBE)

Data for a relaxed structure of DyErMgOs.

The structure in POSCAR format:
```
DyErMgOs
1.0
-3.9148 2.7937 1.2647
-4.1795 -0.2147 -2.6861
-4.0694 -2.1361 1.8993
Dy Er Mg Os
1 1 1 1
Cartesian
-3.0409 0.1107 0.1195 Dy
-9.1227 0.3322 0.3584 Er
0.0000 0.0000 0.0000 Mg
-6.0818 0.2215 0.2389 Os
```

Results
excess energy over the best structure of this formula in the dataset = 62.3 meV/atom
SG = F-43m

---

## DyErMgPa (GGA-PBE)

Data for a relaxed structure of DyErMgPa.

The structure in POSCAR format:
```
DyErMgPa
1.0
-5.3018 -0.7386 0.6519
-2.1320 -4.9161 -0.6051
-1.8395 -2.6888 4.2972
Mg Pa Er Dy
1 1 1 1
Cartesian
-6.9549 -6.2576 3.2579 Mg
-2.3183 -2.0859 1.0860 Pa
0.0000 0.0000 0.0000 Er
-4.6366 -4.1717 2.1720 Dy
```

Results
uncorrected energy = -18.875 eV/cell
SG = F-43m